Record 1
A plane-wave DFT calculation with PBE was carried out for an optimized crystal structure of SrPbF6.

Calculated volume, Å³ per atom: 19.10
ΔE_f (raw), meV/atom: -2712
DOS at the Fermi energy, states/eV per cell: 0.00
E, eV per cell: -38.32

a = 5.666 Å, b = 5.666 Å, c = 5.495 Å
α = 90.00°, β = 90.00°, γ = 120.00°
Fractional coordinates of all 8 atoms:
1 Sr 0.000 0.000 0.000
2 Pb 0.667 0.333 0.500
3 F 0.361 0.043 0.728
4 F 0.361 0.318 0.272
5 F 0.682 0.043 0.272
6 F 0.682 0.639 0.728
7 F 0.957 0.318 0.728
8 F 0.957 0.639 0.272

---

Record 2
A plane-wave DFT calculation with PBE was carried out for an optimized crystal structure of Cd2SnHgAu.

Calculated volume, Å³ per atom: 30.17
DOS at the Fermi energy, states/eV per cell: 1.20
E, eV per cell: -8.99

a = 5.341 Å, b = 5.341 Å, c = 5.288 Å
α = 90.00°, β = 90.00°, γ = 90.00°
Fractional coordinates of all 5 atoms:
1 Cd 0.000 0.500 0.000
2 Cd 0.500 0.000 0.000
3 Sn 0.000 0.000 0.500
4 Hg 0.500 0.500 0.500
5 Au 0.000 0.000 0.000

---

Record 3
A plane-wave DFT calculation with PBE was carried out for an optimized crystal structure of Pu2MnCrN5.

Calculated volume, Å³ per atom: 11.06
ΔE_f (raw), meV/atom: -759
DOS at the Fermi energy, states/eV per cell: 25.20
E, eV per cell: -191.82

a = 6.604 Å, b = 6.604 Å, c = 9.660 Å
α = 90.00°, β = 90.00°, γ = 151.81°
Fractional coordinates of all 18 atoms:
1 Pu 0.113 0.887 0.500
2 Pu 0.142 0.858 0.130
3 Pu 0.858 0.142 0.630
4 Pu 0.887 0.113 0.000
5 Mn 0.208 0.792 0.837
6 Mn 0.792 0.208 0.337
7 Cr 0.450 0.550 0.279
8 Cr 0.550 0.450 0.779
9 N 0.054 0.946 0.875
10 N 0.287 0.713 0.479
11 N 0.314 0.686 0.201
12 N 0.363 0.637 0.822
13 N 0.498 0.502 0.606
14 N 0.502 0.498 0.106
15 N 0.637 0.363 0.322
16 N 0.686 0.314 0.701
17 N 0.713 0.287 0.979
18 N 0.946 0.054 0.375

---

Record 4
A plane-wave DFT calculation with PBE was carried out for an optimized crystal structure of PmEuBi.

E above lowest polymorph, eV per atom: 0.066
Calculated volume, Å³ per atom: 37.11
DOS at the Fermi energy, states/eV per cell: 11.38
E, eV per cell: -81.31

a = 7.636 Å, b = 7.636 Å, c = 7.636 Å
α = 90.00°, β = 90.00°, γ = 90.00°
Fractional coordinates of all 12 atoms:
1 Pm 0.000 0.000 0.000
2 Pm 0.000 0.500 0.500
3 Pm 0.500 0.000 0.500
4 Pm 0.500 0.500 0.000
5 Eu 0.000 0.000 0.500
6 Eu 0.000 0.500 0.000
7 Eu 0.500 0.000 0.000
8 Eu 0.500 0.500 0.500
9 Bi 0.250 0.250 0.250
10 Bi 0.250 0.750 0.750
11 Bi 0.750 0.250 0.750
12 Bi 0.750 0.750 0.250